Record 1
30
Lattice="-5.795 4.161 -0.893 -3.446 -5.473 -3.142 -9.764 -8.225 25.037" Properties=species:S:1:pos:R:3 comment="Ca2Ac12Nd (PBE, optimized geometry)" energy_ev_per_fu=-52.93 e_form_ev_per_atom=0.343 crystal_system=tetragonal pbc="T T T"
Ca -5.555 -0.158 6.368
Ca -4.380 -4.975 5.244
Ca -8.829 -8.723 16.652
Ca -10.004 -3.906 17.776
Ac -12.342 -7.160 17.782
Ac -7.721 -6.504 19.800
Ac -15.491 -8.944 19.169
Ac -12.149 -10.319 20.021
Ac -3.302 -2.782 8.468
Ac -5.681 -4.035 -0.143
Ac -11.406 -2.961 12.263
Ac -7.923 -3.438 6.451
Ac -11.174 -7.046 21.477
Ac -8.134 -1.249 -0.184
Ac -7.968 -4.182 13.202
Ac -8.773 -1.759 9.864
Ac -6.461 -5.443 16.569
Ac -6.417 -4.699 9.818
Ac -3.211 -1.835 1.543
Ac -11.406 -3.842 8.153
Ac -12.219 -6.350 10.832
Ac -2.042 -1.721 5.238
Ac -8.781 -7.572 11.772
Ac -11.082 -6.099 14.552
Ac -14.515 -5.671 20.625
Ac -6.663 -2.376 3.220
Ac -9.049 -6.782 8.107
Ac -5.664 0.951 1.502
Nd -2.898 2.081 -0.446
Nd -1.723 -2.736 -1.571

=====

Record 2
8
Lattice="-2.735 1.853 1.153 -2.165 -2.076 -1.801 -1.089 -8.571 11.190" Properties=species:S:1:pos:R:3 comment="Li3RhPb4 (PBE, optimized geometry)" energy_ev_per_fu=-29.55 e_form_ev_per_atom=-0.202 crystal_system=tetragonal pbc="T T T"
Pb -0.966 -7.602 9.925
Pb -0.123 -0.969 1.265
Pb -0.403 -3.170 4.139
Pb -0.686 -5.401 7.052
Rh -2.450 -0.112 -0.324
Li -2.710 -2.155 2.344
Li -2.995 -4.397 5.271
Li -3.280 -6.639 8.198

=====

Record 3
19
Lattice="-1.505 0.132 -7.648 -1.914 -7.515 -0.797 -7.733 0.854 0.492" Properties=species:S:1:pos:R:3 comment="Pm2Mg16Sn (PBE, optimized geometry)" energy_ev_per_fu=-40.54 e_form_ev_per_atom=-0.080 crystal_system=trigonal pbc="T T T"
Pm -7.525 -4.406 -5.367
Pm -3.630 -2.125 -2.589
Mg -3.446 0.345 -5.127
Mg -5.934 -1.746 0.080
Mg -1.801 -5.144 -2.927
Mg -3.727 -4.921 -0.409
Mg -1.646 -2.244 -5.525
Mg -5.808 0.619 -2.039
Mg -4.824 -5.980 -3.160
Mg -4.622 -2.206 -6.541
Mg -7.696 -1.849 -2.524
Mg -6.315 -0.643 -4.775
Mg -6.511 -4.295 -1.503
Mg -3.536 -4.640 -5.391
Mg -0.971 -3.737 -0.412
Mg -0.769 0.052 -3.806
Mg -3.854 0.410 0.227
Mg -1.020 -0.597 -0.728
Sn -9.999 -5.854 -7.131

=====

Record 4
8
Lattice="-2.655 4.459 -3.935 -3.751 -4.599 -2.681 -4.614 1.173 4.443" Properties=species:S:1:pos:R:3 comment="K3Rh (PBE, optimized geometry)" energy_ev_per_fu=-8.33 e_form_ev_per_atom=0.579 crystal_system=cubic pbc="T T T"
K -3.867 1.044 -4.291
K -2.539 -1.185 -2.324
K -5.120 -2.863 0.211
K -3.245 -0.563 1.551
K -2.481 2.523 -0.857
K -4.788 3.109 1.365
Rh 0.000 0.000 0.000
Rh -5.510 0.516 -1.086